a:
Crystalline ScFeP2 at its relaxed geometry, computed with PBE.

Calculated values
For the total magnetization, the calculation gives 0.7 μB per cell.

a b c (Å): 3.4651 3.7003 4.7037
angles (deg): 90.00 90.00 90.00
Last column: nearest neighbours and their distance in Å.
Element x y z (fractional)
Sc 0.0000 0.0000 0.0000  8 P 2.78, 4 Fe 2.92
Fe 0.5000 0.0000 0.5000  4 P 2.22
P 0.5000 0.5000 0.2411  2 Fe 2.22, 2 P 2.27-2.44
P 0.5000 0.5000 0.7589  2 Fe 2.22, 2 P 2.27-2.44

b:
Crystalline ScFeP2 at its relaxed geometry, computed with PBE.

Calculated values
For the total magnetization, the calculation gives 1.7 μB per cell.

a b c (Å): 3.1516 3.1516 6.1558
angles (deg): 90.00 90.00 106.11
Last column: nearest neighbours and their distance in Å.
Element x y z (fractional)
Sc 0.0000 0.0000 0.0000  4 P 2.60
Fe 0.0000 0.0000 0.5000  4 P 2.30
P 0.5000 0.5000 0.2889  2 Fe 2.30
P 0.5000 0.5000 0.7111  2 Fe 2.30

a is preferred energetically. Next in line: 227 meV/atom higher.

a:
Crystalline ScFeP2 at its relaxed geometry, computed with PBE.

Calculated values
For the total magnetization, the calculation gives 2.3 μB per cell.

a b c (Å): 3.4301 3.7460 4.5587
angles (deg): 90.00 90.00 90.00
Last column: nearest neighbours and their distance in Å.
Element x y z (fractional)
Sc 0.0000 0.0000 0.0000  4 P 2.54
Fe 0.0000 0.5000 0.5000  4 P 2.54
P 0.5000 0.0000 0.5000  4 Fe 2.54
P 0.5000 0.5000 0.0000  4 Sc 2.54

b:
Crystalline ScFeP2 at its relaxed geometry, computed with PBE.

Calculated values
For the total magnetization, the calculation gives 3.0 μB per cell.

a b c (Å): 3.5979 3.5979 5.1019
angles (deg): 90.00 90.00 90.00
Last column: nearest neighbours and their distance in Å.
Element x y z (fractional)
Sc 0.0000 0.0000 0.0000  6 P 2.54-2.55
Fe 0.5000 0.5000 0.5000  6 P 2.54-2.55
P 0.0000 0.0000 0.5000  4 Fe 2.54, 2 Sc 2.55
P 0.5000 0.5000 0.0000  4 Sc 2.54, 2 Fe 2.55

b is preferred energetically. Next in line: 137 meV/atom higher.

a:
Crystalline ScFeP2 at its relaxed geometry, computed with PBE.

Calculated values
For the total magnetization, the calculation gives 0.9 μB per cell.

a b c (Å): 4.4936 4.4936 4.5524
angles (deg): 103.47 103.47 40.93
Last column: nearest neighbours and their distance in Å.
Element x y z (fractional)
Sc 0.0000 0.0000 0.0000  7 P 2.60-2.78, 1 Fe 2.87
Fe 0.2241 0.2241 0.5904  5 P 2.26-2.50
P 0.5054 0.5054 0.4990  3 Fe 2.38-2.50, 3 P 2.61-2.65
P 0.7536 0.7536 0.2505  2 Fe 2.26

b:
Crystalline ScFeP2 at its relaxed geometry, computed with PBE.

Calculated values
For the total magnetization, the calculation gives 0.5 μB per cell.

a b c (Å): 5.5975 5.5975 5.5975
angles (deg): 37.53 37.53 37.53
Last column: nearest neighbours and their distance in Å.
Element x y z (fractional)
Sc 0.0000 0.0000 0.0000  6 P 2.63
Fe 0.5000 0.5000 0.5000  6 P 2.30
P 0.2298 0.2298 0.2298  3 Fe 2.30
P 0.7702 0.7702 0.7702  3 Fe 2.30

b is preferred energetically. Next in line: 298 meV/atom higher.

a:
Crystalline ScFeP2 at its relaxed geometry, computed with PBE.

Calculated values
For the total magnetization, the calculation gives 2.4 μB per cell.

a b c (Å): 5.1594 5.1594 5.1594
angles (deg): 138.97 138.97 59.42
Last column: nearest neighbours and their distance in Å.
Element x y z (fractional)
Sc 0.0000 0.0000 0.0000  4 P 2.56
Fe 0.2500 0.7500 0.5000  4 P 2.56
P 0.5000 0.5000 0.0000  4 Sc 2.56
P 0.7500 0.2500 0.5000  4 Fe 2.56

b:
Crystalline ScFeP2 at its relaxed geometry, computed with PBE.

Calculated values
For the total magnetization, the calculation gives 0.5 μB per cell.

a b c (Å): 4.4357 4.4357 4.4357
angles (deg): 130.46 106.76 93.59
Last column: nearest neighbours and their distance in Å.
Element x y z (fractional)
Sc 0.0000 0.0000 0.0000  8 P 2.61-2.91
Fe 0.5000 0.5000 0.0000  4 P 2.21
P 0.3022 0.8022 0.5000  2 Fe 2.21, 1 P 2.40
P 0.6978 0.1978 0.5000  2 Fe 2.21, 1 P 2.40

b is preferred energetically. Next in line: 217 meV/atom higher.